First-principles (PBE) data for a relaxed structure of ThTcGe2Ru, as listed in Alexandria.

Space-group type: I-4m2 (119)
DFT total energy (eV per atom): -7.835

abc: 4.3503 4.3503 9.9173
angles: 90.00 90.00 90.00
Atoms (fractional coordinates):
Th1 0.0000 0.0000 0.0000
Th2 0.5000 0.5000 0.5000
Tc1 0.0000 0.5000 0.2500
Tc2 0.5000 0.0000 0.7500
Ge1 0.0000 0.0000 0.3682
Ge2 0.0000 0.0000 0.6318
Ge3 0.5000 0.5000 0.1318
Ge4 0.5000 0.5000 0.8682
Ru1 0.0000 0.5000 0.7500
Ru2 0.5000 0.0000 0.2500



First-principles (PBE) data for a relaxed structure of Na3Pm2SnO6, as listed in Alexandria.

Space-group type: C2/m (12)
DFT total energy (eV per atom): -6.136
Formation energy (no corrections) (meV per atom): -2202

abc: 6.0673 6.0673 5.9923
angles: 99.57 99.57 120.04
Atoms (fractional coordinates):
Na1 0.0000 0.0000 0.0000
Na2 0.3441 0.6559 0.0000
Na3 0.6559 0.3441 0.0000
Pm1 0.1672 0.8328 0.5000
Pm2 0.8328 0.1672 0.5000
Sn1 0.5000 0.5000 0.5000
O1 0.1038 0.4283 0.2836
O2 0.2446 0.2446 0.7162
O3 0.4283 0.1038 0.2836
O4 0.5717 0.8962 0.7164
O5 0.7554 0.7554 0.2838
O6 0.8962 0.5717 0.7164



First-principles (PBE) data for a relaxed structure of InAsIr2Au, as listed in Alexandria.

Space-group type: P4/mmm (123)
DFT total energy (eV per atom): -3.848

abc: 4.9309 4.9309 4.9599
angles: 90.00 90.00 90.00
Atoms (fractional coordinates):
In1 0.0000 0.0000 0.0000
As1 0.0000 0.0000 0.5000
Ir1 0.0000 0.5000 0.0000
Ir2 0.5000 0.0000 0.0000
Au1 0.5000 0.5000 0.5000



First-principles (PBE) data for a relaxed structure of Ho8ZnTe2, as listed in Alexandria.

Space-group type: C2/m (12)
DFT total energy (eV per atom): -4.383
Formation energy (no corrections) (meV per atom): -366

abc: 8.4474 8.4474 6.2343
angles: 93.48 93.48 46.50
Atoms (fractional coordinates):
Ho1 0.0851 0.0851 0.3719
Ho2 0.1565 0.6594 0.1559
Ho3 0.3055 0.3055 0.6153
Ho4 0.3406 0.8435 0.8441
Ho5 0.6594 0.1565 0.1559
Ho6 0.6945 0.6945 0.3847
Ho7 0.8435 0.3406 0.8441
Ho8 0.9149 0.9149 0.6281
Zn1 0.5000 0.5000 0.5000
Te1 0.2398 0.2398 0.1123
Te2 0.7602 0.7602 0.8877



First-principles (PBE) data for a relaxed structure of CePrS3, as listed in Alexandria.

Distance to the lowest polymorph of the same formula (meV/atom): 51
Space-group type: Pmmn (59)
DFT total energy (eV per atom): -6.606
Formation energy (no corrections) (meV per atom): -1987

abc: 4.0532 6.8562 8.8212
angles: 90.00 90.00 90.00
Atoms (fractional coordinates):
Ce1 0.2500 0.2500 0.1038
Ce2 0.7500 0.7500 0.8962
Pr1 0.2500 0.7500 0.3494
Pr2 0.7500 0.2500 0.6506
S1 0.2500 0.0222 0.8296
S2 0.2500 0.2500 0.4313
S3 0.2500 0.4778 0.8296
S4 0.7500 0.5222 0.1704
S5 0.7500 0.7500 0.5687
S6 0.7500 0.9778 0.1704



First-principles (PBE) data for a relaxed structure of AlAs2W, as listed in Alexandria.

Distance to the lowest polymorph of the same formula (meV/atom): 267
Space-group type: P2/m (10)
DFT total energy (eV per atom): -6.166

abc: 3.1776 4.4979 4.9362
angles: 90.00 90.16 90.00
Atoms (fractional coordinates):
Al1 0.0000 0.0000 0.0000
As1 0.4974 0.5000 0.7593
As2 0.5026 0.5000 0.2407
W1 0.5000 0.0000 0.5000



First-principles (PBE) data for a relaxed structure of NdEuDyMg, as listed in Alexandria.

Space-group type: F-43m (216)
DFT total energy (eV per atom): -5.245

abc: 7.9915 7.9915 7.9915
angles: 90.00 90.00 90.00
Atoms (fractional coordinates):
Nd1 0.0000 0.0000 0.0000
Nd2 0.0000 0.5000 0.5000
Nd3 0.5000 0.0000 0.5000
Nd4 0.5000 0.5000 0.0000
Eu1 0.2500 0.2500 0.7500
Eu2 0.2500 0.7500 0.2500
Eu3 0.7500 0.2500 0.2500
Eu4 0.7500 0.7500 0.7500
Dy1 0.0000 0.0000 0.5000
Dy2 0.0000 0.5000 0.0000
Dy3 0.5000 0.0000 0.0000
Dy4 0.5000 0.5000 0.5000
Mg1 0.2500 0.2500 0.2500
Mg2 0.2500 0.7500 0.7500
Mg3 0.7500 0.2500 0.7500
Mg4 0.7500 0.7500 0.2500



First-principles (PBE) data for a relaxed structure of YTaP3, as listed in Alexandria.

Distance to the lowest polymorph of the same formula (meV/atom): 1682
Space-group type: Pm-3m (221)
DFT total energy (eV per atom): -5.534

abc: 5.0034 5.0034 5.0034
angles: 90.00 90.00 90.00
Atoms (fractional coordinates):
Y1 0.0000 0.0000 0.0000
Ta1 0.5000 0.5000 0.5000
P1 0.0000 0.0000 0.5000
P2 0.0000 0.5000 0.0000
P3 0.5000 0.0000 0.0000



First-principles (PBE) data for a relaxed structure of Tb5Y4Ho3, as listed in Alexandria.

Distance to the lowest polymorph of the same formula (meV/atom): 215
Space-group type: C2/m (12)
DFT total energy (eV per atom): -4.994

abc: 8.5628 8.5628 9.2899
angles: 115.15 115.15 40.12
Atoms (fractional coordinates):
Tb1 0.0000 0.0000 0.0000
Tb2 0.3270 0.3270 0.6145
Tb3 0.4253 0.4253 0.2995
Tb4 0.5747 0.5747 0.7005
Tb5 0.6730 0.6730 0.3855
Y1 0.0801 0.0801 0.4380
Y2 0.2140 0.2140 0.8784
Y3 0.7860 0.7860 0.1216
Y4 0.9199 0.9199 0.5620
Ho1 0.2093 0.2093 0.2317
Ho2 0.5000 0.5000 0.0000
Ho3 0.7907 0.7907 0.7683



First-principles (PBE) data for a relaxed structure of La3HfSe, as listed in Alexandria.

Distance to the lowest polymorph of the same formula (meV/atom): 0
Space-group type: Pm-3m (221)
DFT total energy (eV per atom): -5.844
Formation energy (no corrections) (meV per atom): -200

abc: 5.6394 5.6394 5.6394
angles: 90.00 90.00 90.00
Atoms (fractional coordinates):
La1 0.0000 0.0000 0.5000
La2 0.0000 0.5000 0.0000
La3 0.5000 0.0000 0.0000
Hf1 0.5000 0.5000 0.5000
Se1 0.0000 0.0000 0.0000



First-principles (PBE) data for a relaxed structure of Pr2Cu2Sn3, as listed in Alexandria.

Distance to the lowest polymorph of the same formula (meV/atom): 80
Space-group type: C2/m (12)
DFT total energy (eV per atom): -4.706

abc: 10.8287 4.3340 7.5612
angles: 90.00 110.83 90.00
Atoms (fractional coordinates):
Pr1 0.1479 0.0000 0.2932
Pr2 0.3521 0.5000 0.7068
Pr3 0.6479 0.5000 0.2932
Pr4 0.8521 0.0000 0.7068
Cu1 0.1535 0.0000 0.7479
Cu2 0.3465 0.5000 0.2521
Cu3 0.6535 0.5000 0.7479
Cu4 0.8465 0.0000 0.2521
Sn1 0.0000 0.5000 0.5000
Sn2 0.1186 0.5000 0.9469
Sn3 0.3814 0.0000 0.0531
Sn4 0.5000 0.0000 0.5000
Sn5 0.6186 0.0000 0.9469
Sn6 0.8814 0.5000 0.0531



First-principles (PBE) data for a relaxed structure of BaLa2HgIr, as listed in Alexandria.

Distance to the lowest polymorph of the same formula (meV/atom): 0
Space-group type: P4/mmm (123)
DFT total energy (eV per atom): -4.505

abc: 5.5357 5.5357 6.3238
angles: 90.00 90.00 90.00
Atoms (fractional coordinates):
Ba1 0.0000 0.0000 0.0000
La1 0.0000 0.5000 0.5000
La2 0.5000 0.0000 0.5000
Hg1 0.5000 0.5000 0.0000
Ir1 0.0000 0.0000 0.5000